The following is a PBE-GGA calculation of PuCd2Bi2 after structural relaxation, from Alexandria via LeMat-Bulk.

Cell: 12.9163 12.9163 4.6153 Å, 90.00 90.00 159.61°
Last column: nearest neighbours and their distance in Å.
Sites, in units of the cell vectors:
Pu 0.1487 0.8513 0.7500  8 Bi 3.27-3.45, 4 Cd 3.52-3.61
Pu 0.8513 0.1487 0.2500  8 Bi 3.27-3.45, 4 Cd 3.52-3.61
Cd 0.0393 0.9607 0.2500  8 Cd 3.05-3.25, 2 Bi 3.29
Cd 0.4567 0.5433 0.2500  8 Cd 3.10-3.25, 2 Bi 3.24
Cd 0.5433 0.4567 0.7500  8 Cd 3.10-3.25, 2 Bi 3.24
Cd 0.9607 0.0393 0.7500  8 Cd 3.05-3.25, 2 Bi 3.29
Bi 0.2497 0.7503 0.2500  4 Bi 3.25, 4 Pu 3.45
Bi 0.3675 0.6325 0.7500  4 Cd 3.24-3.29, 4 Pu 3.27
Bi 0.6325 0.3675 0.2500  4 Cd 3.24-3.29, 4 Pu 3.27
Bi 0.7503 0.2497 0.7500  4 Bi 3.25, 4 Pu 3.45

Results
Calculated density ... 10.976 g/cm3
Total energy ... -4.971 eV/atom
D(E_F) ... 2.525 states/eV/atom
Calculated formation energy ... -186 meV per atom
Spin magnetization ... 5.49 μB per formula unit

=====

The following is a PBE-GGA calculation of PuCd4Bi after structural relaxation, from Alexandria via LeMat-Bulk.

Cell: 6.0267 6.0267 6.0267 Å, 60.00 60.00 60.00°
Last column: nearest neighbours and their distance in Å.
Sites, in units of the cell vectors:
Pu 0.0000 0.0000 0.0000  12 Cd 3.53, 4 Bi 3.69
Cd 0.3751 0.3751 0.3751  6 Cd 3.01-3.02
Cd 0.3751 0.3751 0.8746  6 Cd 3.01-3.02
Cd 0.3751 0.8746 0.3751  6 Cd 3.01-3.02
Cd 0.8746 0.3751 0.3751  6 Cd 3.01-3.02
Bi 0.7500 0.7500 0.7500  12 Cd 3.53, 4 Pu 3.69

Results
Calculated density ... 9.683 g/cm3
Total energy ... -3.629 eV/atom
D(E_F) ... 2.883 states/eV/atom
Calculated formation energy ... 17 meV per atom
Spin magnetization ... 6.09 μB per formula unit

=====

The following is a PBE-GGA calculation of PuCd2Bi3 after structural relaxation, from Alexandria via LeMat-Bulk.

Cell: 8.2622 8.2622 4.3985 Å, 90.00 90.00 145.82°
Last column: nearest neighbours and their distance in Å.
Sites, in units of the cell vectors:
Pu 0.0000 0.0000 0.0000  8 Bi 3.28-3.48, 4 Cd 3.48
Cd 0.3421 0.6579 0.0000  8 Bi 3.28-3.49, 2 Pu 3.48
Cd 0.6579 0.3421 0.0000  8 Bi 3.28-3.49, 2 Pu 3.48
Bi 0.1704 0.8296 0.5000  6 Cd 3.28-3.49, 2 Pu 3.48, 4 Bi 3.50-3.62
Bi 0.5000 0.5000 0.5000  4 Pu 3.28, 4 Cd 3.33, 4 Bi 3.62
Bi 0.8296 0.1704 0.5000  6 Cd 3.28-3.49, 2 Pu 3.48, 4 Bi 3.50-3.62

Results
Calculated density ... 10.788 g/cm3
Total energy ... -4.760 eV/atom
D(E_F) ... 2.112 states/eV/atom
Calculated formation energy ... -126 meV per atom
Spin magnetization ... 5.56 μB per formula unit

=====

The following is a PBE-GGA calculation of Pu2Cd3Bi3 after structural relaxation, from Alexandria via LeMat-Bulk.

Cell: 4.7198 5.0888 9.0050 Å, 90.00 90.00 90.00°
Last column: nearest neighbours and their distance in Å.
Sites, in units of the cell vectors:
Pu 0.0000 0.0000 0.2468  6 Bi 3.24-3.38, 6 Cd 3.42-3.47
Pu 0.0000 0.0000 0.7532  6 Bi 3.24-3.38, 6 Cd 3.42-3.47
Cd 0.0000 0.5000 0.5000  4 Cd 3.18, 4 Pu 3.42, 4 Bi 3.47
Cd 0.5000 0.5000 0.2638  2 Cd 3.18, 6 Bi 3.32-3.48, 4 Pu 3.47
Cd 0.5000 0.5000 0.7362  2 Cd 3.18, 6 Bi 3.32-3.48, 4 Pu 3.47
Bi 0.0000 0.5000 0.0000  4 Cd 3.35, 4 Pu 3.38, 4 Bi 3.47
Bi 0.5000 0.0000 0.0000  4 Pu 3.24, 4 Bi 3.47, 4 Cd 3.48
Bi 0.5000 0.0000 0.5000  4 Pu 3.28, 8 Cd 3.32-3.47

Results
Calculated density ... 11.149 g/cm3
Total energy ... -5.603 eV/atom
D(E_F) ... 3.013 states/eV/atom
Calculated formation energy ... -221 meV per atom
Spin magnetization ... 11.16 μB per formula unit

=====

The following is a PBE-GGA calculation of PuCd2Bi4 after structural relaxation, from Alexandria via LeMat-Bulk.

Cell: 6.6662 6.6662 4.7917 Å, 90.00 90.00 95.32°
Last column: nearest neighbours and their distance in Å.
Sites, in units of the cell vectors:
Pu 0.0000 0.0000 0.0000  8 Bi 3.33-3.38, 4 Cd 3.49
Cd 0.2572 0.7428 0.5000  8 Bi 3.18-3.48, 2 Pu 3.49
Cd 0.7428 0.2572 0.5000  8 Bi 3.18-3.48, 2 Pu 3.49
Bi 0.0000 0.5000 0.0000  4 Cd 3.28, 2 Pu 3.33, 4 Bi 3.44
Bi 0.2660 0.2660 0.5000  4 Cd 3.18-3.48, 2 Pu 3.38, 4 Bi 3.44
Bi 0.5000 0.0000 0.0000  4 Cd 3.28, 2 Pu 3.33, 4 Bi 3.44
Bi 0.7340 0.7340 0.5000  4 Cd 3.18-3.48, 2 Pu 3.38, 4 Bi 3.44

Results
Calculated density ... 10.219 g/cm3
Total energy ... -4.622 eV/atom
D(E_F) ... 1.880 states/eV/atom
Calculated formation energy ... -95 meV per atom
Spin magnetization ... 5.47 μB per formula unit

=====

The following is a PBE-GGA calculation of PuCdBiSb after structural relaxation, from Alexandria via LeMat-Bulk.

Cell: 4.3725 4.8399 5.0067 Å, 90.00 90.00 90.00°
Last column: nearest neighbours and their distance in Å.
Sites, in units of the cell vectors:
Pu 0.0000 0.0000 0.0000  4 Sb 3.26, 4 Bi 3.32, 4 Cd 3.48
Cd 0.0000 0.5000 0.5000  4 Bi 3.26, 4 Sb 3.32, 4 Pu 3.48
Bi 0.5000 0.0000 0.5000  4 Cd 3.26, 4 Pu 3.32, 4 Sb 3.48
Sb 0.5000 0.5000 0.0000  4 Pu 3.26, 4 Cd 3.32, 4 Bi 3.48

Results
E_form (uncorrected) ... -0.31 eV per atom
Calculated density ... 10.769 g/cm3
Total energy ... -6.127 eV/atom
D(E_F) ... 2.499 states/eV/atom
Spin magnetization ... 5.43 μB per formula unit

=====

The following is a PBE-GGA calculation of SmPuCdBi after structural relaxation, from Alexandria via LeMat-Bulk.

Cell: 5.4606 5.4606 5.4606 Å, 60.00 60.00 60.00°
Last column: nearest neighbours and their distance in Å.
Sites, in units of the cell vectors:
Sm 0.0000 0.0000 0.0000  4 Cd 3.34, 4 Bi 3.34
Pu 0.5000 0.5000 0.5000  4 Cd 3.34, 4 Bi 3.34
Cd 0.7500 0.7500 0.7500  4 Pu 3.34, 4 Sm 3.34
Bi 0.2500 0.2500 0.2500  4 Pu 3.34, 4 Sm 3.34

Results
Calculated density ... 10.323 g/cm3
Total energy ... -6.259 eV/atom
D(E_F) ... 3.132 states/eV/atom
Calculated formation energy ... -298 meV per atom
Spin magnetization ... 6.89 μB per formula unit

=====

The following is a PBE-GGA calculation of PuCdSnBi after structural relaxation, from Alexandria via LeMat-Bulk.

Cell: 4.4389 4.8067 4.9420 Å, 90.00 90.00 90.00°
Last column: nearest neighbours and their distance in Å.
Sites, in units of the cell vectors:
Pu 0.0000 0.0000 0.0000  4 Bi 3.27, 4 Sn 3.32, 4 Cd 3.45
Cd 0.0000 0.5000 0.5000  4 Sn 3.27, 4 Bi 3.32, 4 Pu 3.45
Sn 0.5000 0.0000 0.5000  4 Cd 3.27, 4 Pu 3.32, 4 Bi 3.45
Bi 0.5000 0.5000 0.0000  4 Pu 3.27, 4 Cd 3.32, 4 Sn 3.45

Results
Calculated density ... 10.773 g/cm3
Total energy ... -6.054 eV/atom
D(E_F) ... 2.764 states/eV/atom
Calculated formation energy ... -272 meV per atom
Spin magnetization ... 5.43 μB per formula unit
Energy above the lowest structure with this stoichiometry ... 0 meV per atom

=====

Which formula does entry 7 have?
SmPuCdBi

=====

Which value of total energy does entry 3 give?
-4.760 eV/atom

=====

What is the spin magnetization in the sixth record?
5.43 μB per formula unit

=====

The lowest D(E_F) belongs to which entry?
PuCd2Bi4